No. 1
Below is SrSmY2 after structural relaxation, with properties calculated at the PBE level.

```
SrSmY2
1.0
-1.1411 -3.2186 -1.4297
-0.3636 -2.9691 2.1812
-12.0948 1.0339 2.5327
Y Sm Sr
2 1 1
Cartesian
-3.2004 -1.3417 0.7818
-9.3976 0.3135 2.0017
-1.0188 -4.1210 0.5041
-6.7826 -2.5815 1.6387
```

**Spin magnetization**: 0.0000 μB/atom
**V**: 145.0 Å³ per cell
**Fermi-level density of states**: 5.80 states/eV/cell
**Space-group type**: R3m, No. 160
**Energy of formation from the pure elements**: 0.5 eV/f.u.
**Calculated total energy**: -4.718 eV per atom

---

No. 2
Below is Tc2Ni after structural relaxation, with properties calculated at the PBE level.

```
Tc2Ni
1.0
4.2637 0.0000 0.0000
0.0000 4.2637 0.0000
0.0000 0.0000 2.5391
Tc Ni
2 1
Cartesian
0.0000 2.1319 1.2695
2.1319 0.0000 1.2695
0.0000 0.0000 0.0000
```

**Spin magnetization**: 0.0002 μB/atom
**V**: 46.2 Å³ per cell
**Fermi-level density of states**: 5.14 states/eV/cell
**Space-group type**: P4/mmm, No. 123
**Energy of formation from the pure elements**: 2.4 eV/f.u.
**Calculated total energy**: -8.037 eV per atom

---

Which value of spin magnetization does entry 2 give?
0.0002 μB/atom

---

Repeat the first record exactly.
Below is SrSmY2 after structural relaxation, with properties calculated at the PBE level.

```
SrSmY2
1.0
-1.1411 -3.2186 -1.4297
-0.3636 -2.9691 2.1812
-12.0948 1.0339 2.5327
Y Sm Sr
2 1 1
Cartesian
-3.2004 -1.3417 0.7818
-9.3976 0.3135 2.0017
-1.0188 -4.1210 0.5041
-6.7826 -2.5815 1.6387
```

**Spin magnetization**: 0.0000 μB/atom
**V**: 145.0 Å³ per cell
**Fermi-level density of states**: 5.80 states/eV/cell
**Space-group type**: R3m, No. 160
**Energy of formation from the pure elements**: 0.5 eV/f.u.
**Calculated total energy**: -4.718 eV per atom

---

What is the calculated total energy in the first record?
-4.718 eV per atom